Here is a relaxed structure of Ba6Tl2BrN from the Alexandria database. Energies are from PBE.

For the calculated density, the calculation gives 5.3 g cm⁻³. The total energy is -3.2616 eV/atom. As for the crystal system: monoclinic. The energy relative to the elements, uncorrected comes out at -634.8 meV per atom. The value obtained for the volume is 824.2 Å³ per cell. Its magnetization is 0.00 μB/f.u.

It has space group P2_1/c (No. 14), with a = 8.1123 Å, b = 8.6017 Å, c = 14.3151 Å, α = 90.00°, β = 124.40° and γ = 90.00°. Symmetry generates all atoms from Ba at (0.1255, 0.2271, 0.4510), Ba at (0.2307, 0.6793, 0.4518), Ba at (0.3213, 0.0254, 0.2263), Tl at (0.2193, 0.0659, 0.7450), Br at (0.5000, 0.0000, 0.5000) and N at (0.0000, 0.0000, 0.0000).